1.
VASP calculation (PBE-GGA) on a relaxed structure of Be5C4.

Values from the calculation:
symmetry	P6_3/mcm, No. 193
electronic total energy	-5.325	eV per atom
energy relative to the elements	7.60	eV/f.u.
distance to the lowest polymorph of the same formula	0	meV/atom

a = 6.059 Å, b = 6.059 Å, c = 4.184 Å
α = 90.00°, β = 90.00°, γ = 120.00°
Fractional positions:
Be: 0.667 0.333 0.000
Be: 0.776 0.000 0.250
Be: 0.333 0.667 0.500
Be: 0.776 0.776 0.750
Be: 0.224 0.000 0.750
Be: 0.000 0.224 0.750
Be: 0.333 0.667 0.000
Be: 0.224 0.224 0.250
Be: 0.667 0.333 0.500
Be: 0.000 0.776 0.250
C: 0.000 0.490 0.250
C: 0.510 0.510 0.250
C: 0.510 0.000 0.750
C: 0.000 0.510 0.750
C: 0.490 0.000 0.250
C: 0.000 0.000 0.500
C: 0.490 0.490 0.750
C: 0.000 0.000 0.000



2.
VASP calculation (PBE-GGA) on a relaxed structure of TiGe.

Values from the calculation:
symmetry	I-43m, No. 217
electronic total energy	-5.801	eV per atom
energy relative to the elements	0.91	eV/f.u.

a = 7.977 Å, b = 7.977 Å, c = 7.977 Å
α = 90.00°, β = 90.00°, γ = 90.00°
Fractional positions:
Ti: 0.647 0.353 0.353
Ti: 0.147 0.853 0.853
Ti: 0.353 0.647 0.353
Ti: 0.147 0.147 0.147
Ti: 0.853 0.147 0.853
Ti: 0.647 0.647 0.647
Ti: 0.353 0.353 0.647
Ti: 0.853 0.853 0.147
Ge: 0.169 0.831 0.169
Ge: 0.669 0.331 0.669
Ge: 0.669 0.669 0.331
Ge: 0.831 0.169 0.169
Ge: 0.331 0.669 0.669
Ge: 0.169 0.169 0.831
Ge: 0.331 0.331 0.331
Ge: 0.831 0.831 0.831



3.
VASP calculation (PBE-GGA) on a relaxed structure of KRhSe2.

Values from the calculation:
uncorrected formation energy	-490	meV/atom
symmetry	Pmmm, No. 47
electronic total energy	-4.344	eV per atom

a = 3.807 Å, b = 3.083 Å, c = 7.621 Å
α = 90.00°, β = 90.00°, γ = 90.00°
Fractional positions:
Se: 0.000 0.749 0.957
Se: 0.000 0.751 0.543
K: 0.500 0.250 0.250
Rh: 0.500 0.750 0.750



4.
VASP calculation (PBE-GGA) on a relaxed structure of Al5ZnIr6.

Values from the calculation:
symmetry	Cmmm, No. 65
electronic total energy	-6.953	eV per atom
energy relative to the elements	-10.28	eV/f.u.

a = 4.272 Å, b = 6.026 Å, c = 6.757 Å
α = 90.00°, β = 71.57°, γ = 90.00°
Fractional positions:
Al: 0.000 0.500 0.000
Al: 0.665 0.000 0.670
Al: 0.667 0.500 0.666
Al: 0.335 0.000 0.330
Al: 0.333 0.500 0.334
Ir: 0.832 0.251 0.337
Ir: 0.500 0.254 0.000
Ir: 0.168 0.749 0.663
Ir: 0.832 0.749 0.337
Ir: 0.168 0.251 0.663
Ir: 0.500 0.746 0.000
Zn: 0.000 0.000 0.000



5.
VASP calculation (PBE-GGA) on a relaxed structure of SiIr4Au.

Values from the calculation:
uncorrected formation energy	688	meV/atom
symmetry	F-43m, No. 216
electronic total energy	-6.669	eV per atom

a = 5.210 Å, b = 5.210 Å, c = 5.210 Å
α = 60.00°, β = 60.00°, γ = 60.00°
Fractional positions:
Ir: 0.625 0.625 0.625
Ir: 0.126 0.625 0.625
Ir: 0.625 0.126 0.625
Ir: 0.625 0.625 0.126
Au: 0.000 0.000 0.000
Si: 0.250 0.250 0.250



6.
VASP calculation (PBE-GGA) on a relaxed structure of K2Ba3NpO6.

Values from the calculation:
uncorrected formation energy	-2319	meV/atom
symmetry	C2/m, No. 12
electronic total energy	-6.540	eV per atom

a = 6.724 Å, b = 6.724 Å, c = 6.468 Å
α = 99.93°, β = 99.93°, γ = 119.71°
Site moments in Bohr magnetons follow the coordinates.
Fractional positions:
K: 0.334 0.666 0.000  0.01
K: 0.666 0.334 0.000  0.01
O: 0.343 0.075 0.224  -0.04
O: 0.806 0.806 0.237  -0.03
O: 0.194 0.194 0.763  -0.03
O: 0.925 0.657 0.776  -0.04
O: 0.657 0.925 0.776  -0.04
O: 0.075 0.343 0.224  -0.04
Ba: 0.500 0.500 0.500  0.03
Ba: 0.167 0.833 0.500  0.03
Ba: 0.833 0.167 0.500  0.03
Np: 0.000 0.000 0.000  2.94



So what do the calculations give for density of states at the Fermi level? Going down the list: 0.207; 0.497; 0.420; 0.114; 2.131; 0.846 states/eV per atom.